DFT (SCAN) results for a PBEsol-optimized structure of Ca2BeAs.

Cell: 4.1785 4.1785 5.9278 Å, 110.64 110.64 90.00°
Fractional positions:
1 Be 0.2500 0.7500 0.5000
2 As 0.5000 0.5000 0.0000
3 Ca 0.0000 0.0000 0.0000
4 Ca 0.7500 0.2500 0.5000

Symmetry: I-4m2 (119)
Energy of formation (eV/f.u.): -0.60
Total moment (μB per atom): 0.000
E above lowest polymorph (meV per atom): 0

=====

DFT (SCAN) results for a PBEsol-optimized structure of BeCdAs3.

Cell: 5.0275 5.0275 5.0275 Å, 90.00 90.00 90.00°
Fractional positions:
1 Be 0.5000 0.5000 0.5000
2 As 0.0000 0.5000 0.0000
3 As 0.0000 0.0000 0.5000
4 As 0.5000 0.0000 0.0000
5 Cd 0.0000 0.0000 0.0000

Symmetry: Pm-3m (221)
Energy of formation (eV/f.u.): 7.67
Total moment (μB per atom): 0.000

=====

DFT (SCAN) results for a PBEsol-optimized structure of NaBe2CdAs.

Cell: 4.4990 4.4990 5.3050 Å, 90.00 90.00 90.00°
Fractional positions:
1 Na 0.5000 0.5000 0.5000
2 As 0.0000 0.0000 0.5000
3 Be 0.0000 0.5000 0.0000
4 Be 0.5000 0.0000 0.0000
5 Cd 0.0000 0.0000 0.0000

Symmetry: P4/mmm (123)
Energy of formation (eV/f.u.): 3.60
Total moment (μB per atom): 0.000